1.
Material: Dy2W3O12
Method: DFT, meta-GGA SCAN
State: single point on PBEsol structure

extended XYZ file:
```
34
Lattice="3.7928 -5.5956 0.0000 3.7928 5.5956 0.0000 -3.6526 0.0000 10.6387" Properties=species:S:1:pos:R:3 pbc="T T T"
Dy 0.9230 1.3818 0.9799
Dy -0.9033 -1.3818 6.2992
Dy 4.8364 1.3818 4.3395
Dy 3.0101 -1.3818 9.6588
W 2.8797 4.0977 2.6597
W 1.0455 1.2152 4.7594
W -0.7807 -1.2152 10.0788
W 4.7139 1.2152 0.5599
W 2.8876 -1.2152 5.8793
W 1.0534 -4.0977 7.9790
O 2.4137 3.2537 1.1108
O -0.6725 0.5368 4.8701
O 1.0544 2.0583 3.1624
O -1.3432 0.4479 7.6647
O -2.4988 -0.5368 10.1894
O 0.4830 -0.4479 2.3453
O 1.3377 2.4606 5.9698
O 0.7692 2.4606 9.9882
O 3.3457 3.2537 4.2086
O 3.0230 0.4139 0.8156
O -0.7719 -2.0583 8.4818
O 1.1967 -0.4139 6.1350
O 2.7364 0.4139 4.5037
O 4.7050 2.0583 2.1569
O 0.9101 -0.4139 9.8231
O 0.5874 -3.2537 6.4301
O 3.1640 -2.4606 0.6505
O 2.5954 -2.4606 4.6689
O 3.4501 0.4479 8.2934
O 6.4319 0.5368 0.4493
O 5.2764 -0.4479 2.9740
O 2.8787 -2.0583 7.4763
O 4.6056 -0.5368 5.7686
O 1.5194 -3.2537 9.5279
```



2.
Material: Dy2W2O9
Method: DFT, meta-GGA SCAN
State: single point on PBEsol structure

extended XYZ file:
```
26
Lattice="6.6220 0.0000 0.0000 0.8838 6.9029 0.0000 0.7157 2.2830 6.8836" Properties=species:S:1:pos:R:3 pbc="T T T"
Dy 1.2771 2.8471 2.5905
Dy 3.5905 7.0028 5.7930
Dy 4.6310 2.1832 1.0906
Dy 6.9444 6.3388 4.2931
W 2.4254 3.9823 6.5144
W 3.2169 6.3047 2.5311
W 5.0046 2.8813 4.3525
W 5.7961 5.2036 0.3691
O 1.3635 7.2947 6.2248
O 1.7052 5.2864 2.5897
O 2.1343 5.1152 5.1366
O 2.4046 7.5360 3.7445
O 2.2276 2.3200 5.8569
O 2.5419 3.2006 0.6226
O 2.5431 0.9949 1.5123
O 3.6305 3.1668 3.2020
O 3.8187 5.4347 0.9579
O 4.4028 3.7512 5.9256
O 4.5910 6.0191 3.6815
O 5.6785 8.1911 5.3713
O 5.6796 5.9853 6.2610
O 5.9939 6.8659 1.0267
O 5.8169 1.6499 3.1391
O 6.0873 4.0708 1.7469
O 6.5163 3.8995 4.2939
O 6.8580 1.8912 0.6588
```



3.
Material: DyY3O6
Method: DFT, meta-GGA SCAN
State: single point on PBEsol structure

extended XYZ file:
```
40
Lattice="7.4525 -5.2707 0.0000 7.4525 5.2707 0.0000 -7.4500 0.0000 7.4525" Properties=species:S:1:pos:R:3 pbc="T T T"
Dy 7.4525 -5.2705 0.0000
Dy 7.4525 0.0000 0.0000
Dy 5.3452 -2.9809 1.6187
Dy 2.1098 -2.9809 5.8338
Y 1.8637 2.2899 1.8639
Y -1.8606 2.2902 5.5900
Y 3.7275 4.5809 3.7262
Y 1.6216 2.2898 5.3457
Y 0.2450 -0.3459 3.4828
Y -3.4808 -0.3459 7.2091
Y 5.8334 2.2898 2.1067
Y 9.3156 2.2902 1.8625
Y 5.5913 2.2899 5.5885
Y 3.7275 -0.6898 3.7262
Y 10.9358 -0.3459 0.2433
Y 7.2100 -0.3459 3.9697
O -0.1519 1.2513 1.9475
O -3.6456 0.9229 5.2759
O -0.0779 3.6564 5.9044
O 3.8799 3.3290 1.7816
O 2.0933 0.8050 0.1616
O 5.5058 1.2505 0.1537
O 7.5329 3.6564 1.5480
O -0.1593 0.8058 5.3588
O -1.6290 -1.4965 3.8882
O 2.1797 0.9220 3.6465
O 3.5751 3.3290 5.6709
O 3.5643 -1.4958 1.6308
O 1.9492 1.2505 7.2987
O 5.2752 0.9220 3.8059
O -1.5475 -1.6151 7.3734
O 1.7821 -1.9425 3.8782
O 7.6143 0.8058 2.0937
O 7.6069 1.2513 5.5049
O 9.0025 -1.6151 0.0791
O 5.3617 0.8050 7.2909
O 3.8907 -1.4958 5.8217
O 11.1006 0.9229 2.1766
O 5.6729 -1.9425 3.5743
O 9.0840 -1.4965 3.5642
```



4.
Material: Dy3Y5O12
Method: DFT, meta-GGA SCAN
State: single point on PBEsol structure

extended XYZ file:
```
40
Lattice="9.1267 0.0000 0.0000 -3.0398 8.6069 0.0000 -3.0439 -4.3018 7.4531" Properties=species:S:1:pos:R:3 pbc="T T T"
Dy 0.0000 0.0000 0.0000
Dy -2.6449 -1.3562 5.5897
Dy 0.0002 2.8042 2.1076
Dy 0.0002 3.2288 6.0778
Dy 3.0441 7.1083 2.1073
Dy 3.4409 1.2181 5.8343
Y -2.6433 5.0979 1.8644
Y -2.6442 1.8713 4.2140
Y 0.1992 -0.1412 3.9700
Y 0.2004 6.3142 0.2450
Y 0.3960 -3.0868 5.8343
Y 0.0016 6.4548 3.7276
Y 3.0433 1.0753 2.3513
Y 3.4406 4.0213 0.4874
Y 6.2832 2.0110 0.2447
Y 3.2421 4.1627 3.9699
O -2.3117 2.9072 2.2610
O -2.0469 -0.2252 3.6554
O -0.5973 2.2413 0.0146
O -3.5114 0.6682 5.9966
O -4.8399 5.0981 5.7559
O -2.0446 6.6295 0.3287
O -2.3101 6.2714 3.7383
O 0.8681 0.6584 1.9549
O -2.3113 3.3105 5.9129
O -0.3311 5.0164 2.0280
O -0.4701 -0.9423 5.9863
O -0.3327 2.0530 4.2010
O 2.4474 5.9999 0.1598
O 2.1963 3.2285 2.1876
O 3.9093 -0.9481 1.9465
O 4.0378 1.7806 0.4769
O 2.4441 -0.0550 4.2861
O 2.7065 -3.1890 5.6821
O 2.1976 3.0840 5.6710
O 2.1978 6.1767 4.0547
O 2.5732 -0.1458 7.3827
O 6.9531 -0.1351 0.5572
O 4.2885 2.1506 3.8873
O 4.2869 5.2408 2.2683
```



5.
Material: DyY7O12
Method: DFT, meta-GGA SCAN
State: single point on PBEsol structure

extended XYZ file:
```
40
Lattice="-5.2693 5.2695 5.2711 5.2693 -5.2695 5.2711 5.2693 5.2695 -5.2711" Properties=species:S:1:pos:R:3 pbc="T T T"
Dy 5.2693 2.6347 -0.3460
Dy 0.0000 2.6347 0.3460
Y 2.6343 2.6349 7.9058
Y -2.6343 2.6346 7.9058
Y 7.9039 0.3443 0.0000
Y 0.3444 0.0000 2.6355
Y 5.6142 0.0000 2.6355
Y 2.6346 4.9252 0.0000
Y 2.6343 7.9040 -2.6347
Y 2.6349 2.6349 2.6364
Y 2.6346 0.3445 5.2711
Y 5.2693 2.6347 4.9264
Y -0.3444 5.2695 2.6355
Y 4.9244 5.2695 2.6355
Y 0.0000 2.6347 5.6157
Y -2.6346 4.9250 5.2711
O 3.6745 1.2681 -1.1520
O 4.1178 -3.6726 4.0024
O 4.0023 -1.1511 1.5967
O 6.4207 -1.5969 4.0024
O 1.5948 1.2681 1.1520
O 4.0016 4.1193 -1.5968
O 4.0016 6.4196 -3.6743
O 1.5948 -1.2681 4.1191
O 6.4207 1.5969 1.2686
O 4.0023 1.1511 3.6744
O 4.1178 3.6726 1.2686
O 3.6745 -1.2681 6.4231
O 1.5966 6.5367 -1.1513
O 1.1512 1.5962 4.0039
O 1.2676 4.1193 1.5968
O -1.1512 3.6733 4.0039
O 3.6726 6.5367 1.1513
O 1.2670 -1.1511 8.9455
O 1.2670 1.1511 6.8678
O 3.6726 4.0022 4.1198
O -1.1512 6.8656 1.2672
O 1.2676 6.4196 3.6743
O 1.1512 8.9428 1.2672
O 1.5966 4.0022 6.4224
```



6.
Material: DyYO3
Method: DFT, meta-GGA SCAN
State: single point on PBEsol structure

extended XYZ file:
```
30
Lattice="6.3565 0.0000 0.0000 -3.1782 5.5049 0.0000 0.0000 0.0000 12.5852" Properties=species:S:1:pos:R:3 pbc="T T T"
Dy -1.0585 1.8334 0.0000
Dy -2.1197 3.6715 6.2926
Dy 2.1170 0.0000 0.0000
Dy 1.0585 1.8334 6.2926
Dy 4.2395 0.0000 6.2926
Dy 2.1197 3.6715 0.0000
Y 0.0000 0.0000 2.9118
Y 0.0000 0.0000 9.2045
Y 0.0000 3.6699 3.3391
Y 0.0000 3.6699 9.6317
Y 3.1782 1.8350 3.3391
Y 3.1782 1.8350 9.6317
O 0.0000 0.0000 0.4657
O 0.0000 0.0000 6.7584
O -0.9655 1.6724 10.3866
O -1.1660 2.0195 2.1747
O -2.0123 3.4854 8.4673
O -2.2127 3.8325 4.0940
O 1.9311 0.0000 10.3866
O 0.9655 1.6724 4.0940
O 0.0000 3.6699 5.8973
O 0.0000 3.6699 12.1899
O 2.3319 0.0000 2.1747
O 1.1660 2.0195 8.4673
O 4.0246 0.0000 8.4673
O 2.0123 3.4854 2.1747
O 3.1782 1.8350 5.8973
O 3.1782 1.8350 12.1899
O 4.4254 0.0000 4.0940
O 2.2127 3.8325 10.3866
```



7.
Material: Dy2Y2O5
Method: DFT, meta-GGA SCAN
State: single point on PBEsol structure

extended XYZ file:
```
9
Lattice="3.8329 0.0000 0.0000 0.0000 3.8329 0.0000 0.0000 0.0000 9.6593" Properties=species:S:1:pos:R:3 pbc="T T T"
Dy 0.0000 0.0000 0.0000
Dy 0.0000 0.0000 4.8296
Y 1.9165 1.9165 2.3002
Y 1.9165 1.9165 7.3591
O 0.0000 1.9165 1.3626
O 0.0000 1.9165 8.2967
O 1.9165 0.0000 1.3626
O 1.9165 0.0000 8.2967
O 1.9165 1.9165 4.8296
```



8.
Material: Dy2Zr2O7
Method: DFT, meta-GGA SCAN
State: single point on PBEsol structure

extended XYZ file:
```
44
Lattice="7.7541 0.0000 0.0000 0.0000 5.4623 0.0000 -2.0147 0.0000 13.4102" Properties=species:S:1:pos:R:3 pbc="T T T"
Dy 0.9242 0.0000 0.8001
Dy 0.9946 2.4439 5.7460
Dy 0.9467 4.9879 8.4973
Dy 0.9904 2.3760 12.0097
Dy 4.7491 5.1071 1.4005
Dy 4.7928 2.2567 4.9129
Dy 4.7449 5.1751 7.6643
Dy 4.8153 2.7311 12.6102
Zr -1.0394 2.3609 8.3038
Zr -1.0746 5.1224 10.9917
Zr 2.8413 2.4493 2.3001
Zr 2.8750 5.1024 4.9889
Zr 2.8645 2.3712 8.4214
Zr 2.8982 5.1804 11.1101
Zr 6.8141 2.3912 2.4185
Zr 6.7789 5.0921 5.1064
O -0.6218 3.2134 4.3742
O -0.4799 3.9323 6.9975
O -1.2342 1.2273 12.2975
O -0.3920 3.4723 9.8074
O -0.7010 3.9114 12.5457
O 0.9674 1.6739 2.3476
O 0.9526 0.2857 5.1553
O 0.9300 1.6753 7.8623
O 0.8987 0.4174 10.6970
O 2.5778 4.2977 1.6739
O 2.5764 3.1789 4.3858
O 3.1932 1.3588 0.6157
O 2.3738 3.9059 7.0325
O 2.1825 3.5196 9.8791
O 3.5569 0.7884 3.5311
O 3.3656 1.1747 6.3777
O 2.5463 4.0899 12.7945
O 3.1631 0.4477 9.0245
O 3.1616 1.5666 11.7363
O 4.8408 3.1486 2.7133
O 4.8095 4.4064 5.5479
O 4.7869 3.0168 8.2549
O 4.7721 4.4051 11.0627
O 6.4405 1.1802 0.8646
O 6.1314 0.7411 3.6028
O 6.9737 3.9585 1.1128
O 6.2193 1.2012 6.4127
O 6.3612 0.4822 9.0361
```



Energy relative to the elements, uncorrected (computed, kJ/mol of formula units): -4644 -3708 -3798 -7592 -7599 -1851 -2755 -4046
E_tot (computed, eV per atom): -25.15 -25.34 -20.81 -21.80 -19.81 -22.70 -23.44 -22.05